Entry 1:
DFT (PBE) results for a relaxed structure of Ac2TlCuSe4.

```
data_Ac2TlCuSe4
_chemical_formula_sum 'Ac4 Tl2 Cu2 Se8'
_cell_length_a 7.865
_cell_length_b 7.865
_cell_length_c 15.123
_cell_angle_alpha 90.00
_cell_angle_beta 90.00
_cell_angle_gamma 147.43
_symmetry_space_group_name_H-M 'P 1'
_symmetry_Int_Tables_number 1
loop_
_symmetry_equiv_pos_as_xyz
'x,y,z'
loop_
_atom_site_label
_atom_site_fract_x
_atom_site_fract_y
_atom_site_fract_z
Ac1 0.135 0.865 0.562
Ac2 0.135 0.865 0.938
Ac3 0.865 0.135 0.062
Ac4 0.865 0.135 0.438
Tl1 0.393 0.607 0.750
Tl2 0.607 0.393 0.250
Cu1 0.340 0.660 0.250
Cu2 0.660 0.340 0.750
Se1 0.068 0.932 0.750
Se2 0.235 0.765 0.120
Se3 0.235 0.765 0.380
Se4 0.500 0.500 0.000
Se5 0.500 0.500 0.500
Se6 0.765 0.235 0.620
Se7 0.765 0.235 0.880
Se8 0.932 0.068 0.250
```

formation energy without anion corrections = -1.36 eV/atom
SG = No. 63

Entry 2:
DFT (PBE) results for a relaxed structure of In3Ni9N2.

```
data_In3Ni9N2
_chemical_formula_sum 'In6 Ni18 N4'
_cell_length_a 5.454
_cell_length_b 5.454
_cell_length_c 13.187
_cell_angle_alpha 90.00
_cell_angle_beta 90.00
_cell_angle_gamma 120.00
_symmetry_space_group_name_H-M 'P 1'
_symmetry_Int_Tables_number 1
loop_
_symmetry_equiv_pos_as_xyz
'x,y,z'
loop_
_atom_site_label
_atom_site_fract_x
_atom_site_fract_y
_atom_site_fract_z
In1 0.000 0.000 0.250
In2 0.000 0.000 0.750
In3 0.333 0.667 0.088
In4 0.333 0.667 0.412
In5 0.667 0.333 0.588
In6 0.667 0.333 0.912
Ni1 0.015 0.507 0.750
Ni2 0.164 0.327 0.580
Ni3 0.164 0.327 0.920
Ni4 0.164 0.836 0.580
Ni5 0.164 0.836 0.920
Ni6 0.327 0.164 0.080
Ni7 0.327 0.164 0.420
Ni8 0.493 0.507 0.750
Ni9 0.493 0.985 0.750
Ni10 0.507 0.015 0.250
Ni11 0.507 0.493 0.250
Ni12 0.673 0.836 0.580
Ni13 0.673 0.836 0.920
Ni14 0.836 0.164 0.080
Ni15 0.836 0.164 0.420
Ni16 0.836 0.673 0.080
Ni17 0.836 0.673 0.420
Ni18 0.985 0.493 0.250
N1 0.333 0.667 0.651
N2 0.333 0.667 0.849
N3 0.667 0.333 0.151
N4 0.667 0.333 0.349
```

formation energy without anion corrections = -0.03 eV/atom
SG = No. 194

Entry 3:
DFT (PBE) results for a relaxed structure of CuPdRh2.

```
data_CuPdRh2
_chemical_formula_sum 'Cu1 Pd1 Rh2'
_cell_length_a 8.862
_cell_length_b 8.862
_cell_length_c 8.862
_cell_angle_alpha 17.73
_cell_angle_beta 17.73
_cell_angle_gamma 17.73
_symmetry_space_group_name_H-M 'P 1'
_symmetry_Int_Tables_number 1
loop_
_symmetry_equiv_pos_as_xyz
'x,y,z'
loop_
_atom_site_label
_atom_site_fract_x
_atom_site_fract_y
_atom_site_fract_z
Cu1 0.000 0.000 0.000
Pd1 0.500 0.500 0.500
Rh1 0.253 0.253 0.253
Rh2 0.747 0.747 0.747
```

ΔE_f = 0.085 eV per atom
SG = No. 166